# 1
CsBa2TiF8 | PBE | optimized geometry

It has space group P2/m (No. 10), with a = 4.737 Å, b = 8.542 Å, c = 5.811 Å, α = 90.00°, β = 99.10° and γ = 90.00°. The asymmetric unit holds Cs at (0.000, 0.000, 0.000), Ba at (0.500, 0.260, 0.500), Ti at (0.000, 0.500, 0.000), F at (0.066, 0.325, 0.775), F at (0.379, 0.500, 0.202) and F at (0.431, 0.000, 0.715).

The value obtained for the raw formation energy is -333 kJ/mol of atoms. The value obtained for the total DFT energy (no corrections) is -5.746 eV per atom.



# 2
CsBaTlF6 | PBE | optimized geometry

It has space group Imma (No. 74), with a = 8.379 Å, b = 8.542 Å, c = 11.263 Å, α = 90.00°, β = 90.00° and γ = 90.00°. The asymmetric unit holds Cs at (0.000, 0.250, 0.101), Ba at (0.000, 0.000, 0.500), Tl at (0.250, 0.250, 0.750), F at (0.000, 0.250, 0.375), F at (0.000, 0.250, 0.666) and F at (0.216, 0.072, 0.884).

The value obtained for the raw formation energy is -265 kJ/mol of atoms. The value obtained for the total DFT energy (no corrections) is -4.568 eV per atom.



# 3
Cs2BaTmF6 | PBE | optimized geometry

It has space group Pmmn (No. 59, origin choice 2), with a = 6.860 Å, b = 8.439 Å, c = 9.136 Å, α = 90.00°, β = 90.00° and γ = 90.00°. The asymmetric unit holds Cs at (0.250, 0.007, 0.134), Ba at (0.250, 0.250, 0.585), Tm at (0.250, 0.750, 0.760), F at (0.021, 0.250, 0.361), F at (0.050, 0.750, 0.944) and F at (0.250, 0.008, 0.762).

The value obtained for the raw formation energy is -320 kJ/mol of atoms. The value obtained for the total DFT energy (no corrections) is -5.252 eV per atom.



# 4
CsBa2TmF8 | PBE | optimized geometry

It has space group P2/m (No. 10), with a = 4.549 Å, b = 8.666 Å, c = 6.092 Å, α = 90.00°, β = 96.78° and γ = 90.00°. The asymmetric unit holds Cs at (0.000, 0.000, 0.000), Ba at (0.500, 0.256, 0.500), Tm at (0.000, 0.500, 0.000), F at (0.044, 0.313, 0.762), F at (0.430, 0.500, 0.207) and F at (0.449, 0.000, 0.714).

The value obtained for the raw formation energy is -361 kJ/mol of atoms. The value obtained for the total DFT energy (no corrections) is -5.757 eV per atom.



# 5
CsBaTmF6 | PBE | optimized geometry

It has space group Imma (No. 74), with a = 8.247 Å, b = 8.606 Å, c = 11.323 Å, α = 90.00°, β = 90.00° and γ = 90.00°. The asymmetric unit holds Cs at (0.000, 0.250, 0.101), Ba at (0.000, 0.000, 0.500), Tm at (0.250, 0.250, 0.750), F at (0.000, 0.250, 0.378), F at (0.000, 0.250, 0.688) and F at (0.221, 0.076, 0.882).

The value obtained for the raw formation energy is -361 kJ/mol of atoms. The value obtained for the total DFT energy (no corrections) is -5.793 eV per atom.



# 6
CsBaUF6 | PBE | optimized geometry

It has space group P-31c (No. 163), with a = 6.9477 Å, b = 6.9477 Å, c = 10.1559 Å, α = 90.00°, β = 90.00° and γ = 120.00°. The asymmetric unit holds Cs at (0.3333, 0.6667, 0.2500), Ba at (0.0000, 0.0000, 0.0000), U at (0.3333, 0.6667, 0.7500) and F at (0.0861, 0.3680, 0.6249).

The value obtained for the raw formation energy is -323 kJ/mol of atoms. The value obtained for the total DFT energy (no corrections) is -6.160 eV per atom.